A geometry-optimized Sm5Dy2Tl structure. Source: the Alexandria database, functional PBE-GGA.

Results
E_tot = -71.1 eV for the cell shown
E above lowest polymorph = 0.000 eV/atom
total moment = 0.000 μB per formula unit
energy relative to the elements = -0.050 eV/atom

Cell and atoms, written as CIF:
```
data_Sm5Dy2Tl
_chemical_formula_sum 'Sm10 Dy4 Tl2'
_space_group_name_H-M_alt 'P b a m'
_space_group_IT_number 55
_cell_length_a 7.1153
_cell_length_b 14.2515
_cell_length_c 5.0001
_cell_angle_alpha 90.00
_cell_angle_beta 90.00
_cell_angle_gamma 90.00
loop_
_space_group_symop_operation_xyz
'x,y,z'
'-x,-y,-z'
'-x,-y,z'
'x,y,-z'
'x+1/2,-y+1/2,-z'
'-x+1/2,y+1/2,z'
'-x+1/2,y+1/2,-z'
'x+1/2,-y+1/2,z'
loop_
_atom_site_label
_atom_site_fract_x
_atom_site_fract_y
_atom_site_fract_z
Sm1 0.0000 0.0000 0.0000
Sm2 0.0037 0.2590 0.0000
Sm3 0.2474 0.1261 0.5000
Dy1 0.2449 0.8758 0.5000
Tl1 0.0000 0.5000 0.0000
```



A geometry-optimized SmDy4Tl structure. Source: the Alexandria database, functional PBE-GGA.

Results
E_tot = -26.1 eV for the cell shown
E above lowest polymorph = 0.000 eV/atom
total moment = 0.000 μB per formula unit
energy relative to the elements = -0.105 eV/atom

Cell and atoms, written as CIF:
```
data_SmDy4Tl
_chemical_formula_sum 'Sm1 Dy4 Tl1'
_space_group_name_H-M_alt 'P 4/m m m'
_space_group_IT_number 123
_space_group_name_Hall '-P 4 2'
_cell_length_a 3.5981
_cell_length_b 3.5981
_cell_length_c 14.2706
_cell_angle_alpha 90.00
_cell_angle_beta 90.00
_cell_angle_gamma 90.00
loop_
_atom_site_label
_atom_site_fract_x
_atom_site_fract_y
_atom_site_fract_z
Sm1 0.0000 0.0000 0.0000
Dy1 0.0000 0.0000 0.3514
Dy2 0.5000 0.5000 0.1775
Tl1 0.5000 0.5000 0.5000
```



A geometry-optimized SmDyTl2 structure. Source: the Alexandria database, functional PBE-GGA.

Results
E_tot = -62.0 eV for the cell shown
E above lowest polymorph = 0.005 eV/atom
total moment = 0.000 μB per formula unit
energy relative to the elements = -0.360 eV/atom

Cell and atoms, written as CIF:
```
data_SmDyTl2
_chemical_formula_sum 'Sm4 Dy4 Tl8'
_space_group_name_H-M_alt 'F m -3 m'
_space_group_IT_number 225
_space_group_name_Hall '-F 4 2 3'
_cell_length_a 7.6627
_cell_length_b 7.6627
_cell_length_c 7.6627
_cell_angle_alpha 90.00
_cell_angle_beta 90.00
_cell_angle_gamma 90.00
loop_
_atom_site_label
_atom_site_fract_x
_atom_site_fract_y
_atom_site_fract_z
Sm1 0.0000 0.0000 0.0000
Dy1 0.0000 0.0000 0.5000
Tl1 0.2500 0.2500 0.2500
```



A geometry-optimized Sm2Dy2Tl3 structure. Source: the Alexandria database, functional PBE-GGA.

Results
E_tot = -54.7 eV for the cell shown
E above lowest polymorph = 0.003 eV/atom
total moment = 0.713 μB per formula unit
energy relative to the elements = -0.230 eV/atom

Cell and atoms, written as CIF:
```
data_Sm2Dy2Tl3
_chemical_formula_sum 'Sm4 Dy4 Tl6'
_space_group_name_H-M_alt 'C m m m'
_space_group_IT_number 65
_space_group_name_Hall '-C 2 2'
_cell_length_a 3.5510
_cell_length_b 32.3977
_cell_length_c 3.5729
_cell_angle_alpha 90.00
_cell_angle_beta 90.00
_cell_angle_gamma 90.00
loop_
_atom_site_label
_atom_site_fract_x
_atom_site_fract_y
_atom_site_fract_z
Sm1 0.0000 0.0690 0.0000
Dy1 0.0000 0.2024 0.0000
Tl1 0.0000 0.3620 0.5000
Tl2 0.0000 0.5000 0.5000
```